{
  "formula": "PuAl4Pb",
  "functional": "PBE-GGA",
  "state": "optimized geometry",
  "delta_e_f_mev_per_atom": -33,
  "lattice": [[5.614, 0.000, 0.000], [2.807, 4.862, 0.000], [2.807, 1.621, 4.584]],
  "species": ["Al", "Al", "Al", "Al", "Pb", "Pu"],
  "fractional_positions": [[0.624, 0.127, 0.624], [0.624, 0.624, 0.624], [0.127, 0.624, 0.624], [0.624, 0.624, 0.127], [0.000, 0.000, 0.000], [0.250, 0.250, 0.250]]
}